Record 1
HfMn2Be6 GGA-PBE optimized geometry; volume = 10.84 Å³/atom; E_form = 6.42 kJ per mole of atoms; N(E_F) = 4.74 states/eV per cell
1.0
-0.4999 -2.0541 -2.2694
-3.9589 -4.1068 2.4700
-6.1195 0.3056 -1.0479
Hf Mn Be
1 2 6
Direct
0.0000 0.0000 0.0000
0.8717 0.6283 0.6283
0.1283 0.3717 0.3717
0.6826 0.0185 0.6163
0.3174 0.9815 0.3837
0.3174 0.3837 0.9815
0.5000 0.6617 0.3383
0.5000 0.3383 0.6617
0.6826 0.6163 0.0185

Record 2
HfMnBe10 GGA-PBE optimized geometry; volume = 9.53 Å³/atom; E_form = -12.79 kJ per mole of atoms; N(E_F) = 3.62 states/eV per cell
1.0
3.4610 0.0000 0.0000
0.0000 4.3641 0.0000
0.0000 0.0000 7.5735
Hf Mn Be
1 1 10
Direct
0.0000 0.5000 0.5000
0.0000 0.0000 0.0000
0.0000 0.0000 0.3152
0.0000 0.5000 0.8462
0.0000 0.5000 0.1538
0.0000 0.0000 0.6848
0.5000 0.0000 0.5000
0.5000 0.5000 0.0000
0.5000 0.2505 0.2424
0.5000 0.7495 0.7576
0.5000 0.7495 0.2424
0.5000 0.2505 0.7576